Entry 1:
A geometry-optimized NaSc2Be structure. Source: Alexandria via LeMat-Bulk, functional PBE.

Geometry as POSCAR:
```
NaSc2Be
1.0
1.878 0.000 10.341
-0.939 1.627 10.341
-0.939 -1.627 10.341
Na Be Sc
1 1 2
Direct
0.000 0.000 0.000
0.500 0.500 0.500
0.892 0.892 0.892
0.108 0.108 0.108
```

Calculated formation energy ... 317 meV/atom
Crystal system ... trigonal
Space group ... R-3m
Total magnetization ... 0.000 μB per atom

---

Entry 2:
A geometry-optimized NaScBe3 structure. Source: Alexandria via LeMat-Bulk, functional PBE.

Geometry as POSCAR:
```
NaScBe3
1.0
5.010 0.000 0.000
0.000 5.010 0.000
0.000 0.000 5.010
Sc Na Be
1 1 3
Direct
0.000 0.000 0.000
0.500 0.500 0.500
0.000 0.500 0.000
0.000 0.000 0.500
0.500 0.000 0.000
```

Calculated formation energy ... 1469 meV/atom
Crystal system ... cubic
Space group ... Pm-3m
Total magnetization ... 0.000 μB per atom

---

Entry 3:
A geometry-optimized NaSc3Be structure. Source: Alexandria via LeMat-Bulk, functional PBE.

Geometry as POSCAR:
```
NaSc3Be
1.0
5.079 0.000 0.000
0.000 5.079 0.000
0.000 0.000 5.079
Be Sc Na
1 3 1
Direct
0.500 0.500 0.500
0.500 0.000 0.000
0.000 0.500 0.000
0.000 0.000 0.500
0.000 0.000 0.000
```

Calculated formation energy ... 1405 meV/atom
Crystal system ... cubic
Space group ... Pm-3m
Total magnetization ... 0.386 μB per atom

---

Entry 4:
A geometry-optimized NaSc2Be structure. Source: Alexandria via LeMat-Bulk, functional PBE.

Geometry as POSCAR:
```
NaSc2Be
1.0
7.717 0.000 0.000
0.000 7.717 0.000
3.859 3.859 3.031
Sc Be Na
4 2 2
Direct
0.181 0.625 0.250
0.875 0.819 0.750
0.569 0.125 0.250
0.375 0.431 0.750
0.250 0.750 0.500
0.500 0.500 0.000
0.750 0.250 0.500
0.000 0.000 0.000
```

Calculated formation energy ... 595 meV/atom
Crystal system ... tetragonal
Space group ... I-42d
Total magnetization ... 0.246 μB per atom

---

Entry 5:
A geometry-optimized NaScBe3 structure. Source: Alexandria via LeMat-Bulk, functional PBE.

Geometry as POSCAR:
```
NaScBe3
1.0
4.336 0.000 0.000
0.000 4.336 0.000
0.000 0.000 4.336
Sc Be Na
1 3 1
Direct
0.500 0.500 0.500
0.500 0.000 0.000
0.000 0.000 0.500
0.000 0.500 0.000
0.000 0.000 0.000
```

Calculated formation energy ... 1257 meV/atom
Crystal system ... cubic
Space group ... Pm-3m
Total magnetization ... 0.000 μB per atom

---

Entry 6:
A geometry-optimized NaScBe2Si structure. Source: Alexandria via LeMat-Bulk, functional PBE.

Geometry as POSCAR:
```
NaScBe2Si
1.0
-2.545 2.139 -2.777
-3.914 -1.125 2.721
0.550 3.634 2.294
Sc Be Si Na
1 2 1 1
Direct
0.000 0.500 0.000
0.000 0.000 0.500
0.500 0.000 0.000
0.500 0.500 0.500
0.000 0.000 0.000
```

Crystal system ... tetragonal
Space group ... P4/mmm
Raw formation energy ... 1431 meV/atom
Total magnetization ... 0.000 μB per atom

---

Entry 7:
A geometry-optimized Na2ScBeSn structure. Source: Alexandria via LeMat-Bulk, functional PBE.

Geometry as POSCAR:
```
Na2ScBeSn
1.0
-1.730 -4.707 2.911
2.378 1.420 3.709
-4.664 2.882 1.888
Sc Sn Be Na
1 1 1 2
Direct
0.000 0.000 0.000
0.500 0.500 0.500
0.000 0.500 0.000
0.000 0.000 0.500
0.500 0.000 0.000
```

Calculated formation energy ... 1067 meV/atom
Crystal system ... tetragonal
Space group ... P4/mmm
Total magnetization ... 0.001 μB per atom

---

Entry 8:
A geometry-optimized NaScBeTe3 structure. Source: Alexandria via LeMat-Bulk, functional PBE.

Geometry as POSCAR:
```
NaScBeTe3
1.0
-3.660 0.616 -1.716
-0.862 -8.851 -1.337
-3.811 2.035 8.857
Na Te Sc Be
2 6 2 2
Direct
0.750 0.801 0.775
0.250 0.199 0.225
0.250 0.791 0.469
0.250 0.554 0.835
0.250 0.097 0.849
0.750 0.209 0.531
0.750 0.446 0.165
0.750 0.903 0.151
0.750 0.331 0.855
0.250 0.669 0.145
0.750 0.921 0.403
0.250 0.079 0.597
```

Crystal system ... monoclinic
Space group ... P2_1/m
Raw formation energy ... -862 meV/atom
Total magnetization ... 0.000 μB per atom